Compound: Na2CdFeO4
Source: the Alexandria database
Functional: GGA+U
Structure: relaxed

Structure (CIF):
```
data_Na2CdFeO4
_cell_length_a 5.550
_cell_length_b 5.550
_cell_length_c 7.528
_cell_angle_alpha 90.00
_cell_angle_beta 90.00
_cell_angle_gamma 90.00
_space_group_name_H-M_alt 'I -4'
_space_group_IT_number 82
loop_
_space_group_symop_operation_xyz
'x,y,z'
'y,-x,-z'
'-x,-y,z'
'-y,x,-z'
'x+1/2,y+1/2,z+1/2'
'y+1/2,-x+1/2,-z+1/2'
'-x+1/2,-y+1/2,z+1/2'
'-y+1/2,x+1/2,-z+1/2'
loop_
_atom_site_label
_atom_site_fract_x
_atom_site_fract_y
_atom_site_fract_z
Na1 0.000 0.000 0.000
Na2 0.000 0.500 0.250
Cd1 0.000 0.500 0.750
Fe1 0.000 0.000 0.500
O1 0.202 0.220 0.603
```


Compound: Na3Cd2FeO6
Source: the Alexandria database
Functional: GGA+U
Structure: relaxed

Structure (CIF):
```
data_Na3Cd2FeO6
_cell_length_a 5.678
_cell_length_b 9.798
_cell_length_c 5.780
_cell_angle_alpha 90.00
_cell_angle_beta 109.71
_cell_angle_gamma 90.00
_space_group_name_H-M_alt 'C 1 2/m 1'
_space_group_IT_number 12
loop_
_space_group_symop_operation_xyz
'x,y,z'
'-x,-y,-z'
'-x,y,-z'
'x,-y,z'
'x+1/2,y+1/2,z'
'-x+1/2,-y+1/2,-z'
'-x+1/2,y+1/2,-z'
'x+1/2,-y+1/2,z'
loop_
_atom_site_label
_atom_site_fract_x
_atom_site_fract_y
_atom_site_fract_z
Na1 0.000 0.000 0.000
Na2 0.000 0.337 0.000
Cd1 0.000 0.168 0.500
Fe1 0.000 0.500 0.500
O1 0.213 0.357 0.714
O2 0.214 0.500 0.299
```


Electronic total energy list, top to bottom, in eV per formula unit: -39.0, -55.4